No. 1
VASP calculation (PBE-GGA) on a geometry-optimized CuPF2 structure.

Geometry as POSCAR:
```
CuPF2
1.0
2.7724 0.0000 0.0000
-1.3862 2.4010 0.0000
0.0000 0.0000 22.5306
Cu P F
3 3 6
Direct
0.0000 0.0000 0.0000
0.3333 0.6667 0.6667
0.6667 0.3333 0.3333
0.0000 0.0000 0.5000
0.3333 0.6667 0.1667
0.6667 0.3333 0.8333
0.0000 0.0000 0.0825
0.0000 0.0000 0.9175
0.3333 0.6667 0.5841
0.3333 0.6667 0.7492
0.6667 0.3333 0.2508
0.6667 0.3333 0.4159
```

Summary:
Relative energy among the computed polymorphs ... 315 meV/atom
Fermi-level density of states ... 3.7 states/eV per cell
Formation energy without anion corrections ... -0.61 eV/atom

---

No. 2
VASP calculation (PBE-GGA) on a geometry-optimized Cs2LiI3 structure.

Geometry as POSCAR:
```
Cs2LiI3
1.0
7.2180 -4.8695 0.0000
7.2180 4.8695 0.0000
0.0000 0.0000 8.4989
Cs Li I
4 2 6
Direct
0.0039 0.6698 0.5000
0.3302 0.9961 0.5000
0.6698 0.0039 0.0000
0.9961 0.3302 0.0000
0.4129 0.5871 0.9602
0.5871 0.4129 0.4602
0.1317 0.8683 0.8838
0.3431 0.3763 0.2317
0.3763 0.3431 0.7317
0.6237 0.6569 0.2317
0.6569 0.6237 0.7317
0.8683 0.1317 0.3838
```

Summary:
Relative energy among the computed polymorphs ... 56 meV/atom
Fermi-level density of states ... 0.0 states/eV per cell
Formation energy without anion corrections ... -1.39 eV/atom

---

No. 3
VASP calculation (PBE-GGA) on a geometry-optimized SrPd2Au structure.

Geometry as POSCAR:
```
SrPd2Au
1.0
5.7954 0.0000 0.0000
0.0000 6.7057 0.0000
0.0000 0.0000 4.7563
Sr Pd Au
2 4 2
Direct
0.0000 0.0000 0.0000
0.5000 0.5000 0.0000
0.0000 0.2976 0.5000
0.0000 0.7024 0.5000
0.5000 0.2024 0.5000
0.5000 0.7976 0.5000
0.0000 0.5000 0.0000
0.5000 0.0000 0.0000
```

Summary:
Relative energy among the computed polymorphs ... 362 meV/atom
Fermi-level density of states ... 4.8 states/eV per cell
ΔE_f ... -241 meV per atom

---

No. 4
VASP calculation (PBE-GGA) on a geometry-optimized Tb5Tm3Co2 structure.

Geometry as POSCAR:
```
Tb5Tm3Co2
1.0
-5.0733 7.3357 3.7969
5.0733 -7.3357 3.7969
5.0733 7.3357 -3.7969
Tb Tm Co
10 6 4
Direct
0.0038 0.2500 0.7538
0.1215 0.2446 0.3661
0.2500 0.2500 0.0000
0.3785 0.7446 0.1231
0.4962 0.2500 0.2462
0.5038 0.7500 0.7538
0.6215 0.2554 0.8769
0.7500 0.7500 0.0000
0.8785 0.7554 0.6339
0.9962 0.7500 0.2462
0.1241 0.7550 0.8791
0.2500 0.7500 0.5000
0.3759 0.2550 0.6309
0.6241 0.7450 0.3691
0.7500 0.2500 0.5000
0.8759 0.2450 0.1209
0.1287 0.5005 0.6292
0.3713 0.0005 0.3718
0.6287 0.9995 0.6282
0.8713 0.4995 0.3708
```

Summary:
Fermi-level density of states ... 23.8 states/eV per cell
ΔE_f ... -37 meV per atom

---

No. 5
VASP calculation (PBE-GGA) on a geometry-optimized ErAgSe2 structure.

Geometry as POSCAR:
```
ErAgSe2
1.0
4.1397 0.0000 0.0000
-2.0698 3.5851 0.0000
0.0000 0.0000 19.4987
Er Ag Se
3 3 6
Direct
0.0000 0.0000 0.0000
0.3333 0.6667 0.6667
0.6667 0.3333 0.3333
0.0000 0.0000 0.5000
0.3333 0.6667 0.1667
0.6667 0.3333 0.8333
0.0000 0.0000 0.2525
0.0000 0.0000 0.7475
0.3333 0.6667 0.4142
0.3333 0.6667 0.9191
0.6667 0.3333 0.0809
0.6667 0.3333 0.5858
```

Summary:
Fermi-level density of states ... 0.0 states/eV per cell
Formation energy without anion corrections ... -1.16 eV/atom

---

No. 6
VASP calculation (PBE-GGA) on a geometry-optimized YTi3Ru structure.

Geometry as POSCAR:
```
YTi3Ru
1.0
4.7698 0.0000 0.0000
0.0000 4.7698 0.0000
0.0000 0.0000 4.7698
Y Ti Ru
1 3 1
Direct
0.0000 0.0000 0.0000
0.0000 0.5000 0.5000
0.5000 0.0000 0.5000
0.5000 0.5000 0.0000
0.5000 0.5000 0.5000
```

Summary:
Relative energy among the computed polymorphs ... 0 meV/atom
Fermi-level density of states ... 8.7 states/eV per cell
ΔE_f ... 154 meV per atom

---

No. 7
VASP calculation (PBE-GGA) on a geometry-optimized Sr2InBiAs structure.

Geometry as POSCAR:
```
Sr2InBiAs
1.0
8.5521 0.0000 0.0000
0.0000 4.7558 0.0000
-4.0290 0.0000 7.9859
Sr In Bi As
4 2 2 2
Direct
0.0466 0.2500 0.3415
0.4229 0.7500 0.2887
0.5771 0.2500 0.7113
0.9534 0.7500 0.6585
0.3961 0.7500 0.9048
0.6039 0.2500 0.0952
0.1415 0.2500 0.9851
0.8585 0.7500 0.0149
0.2852 0.7500 0.5649
0.7148 0.2500 0.4351
```

Summary:
Fermi-level density of states ... 1.8 states/eV per cell
ΔE_f ... -788 meV per atom

---

No. 8
VASP calculation (PBE-GGA) on a geometry-optimized LiHgPd2 structure.

Geometry as POSCAR:
```
LiHgPd2
1.0
5.1199 0.0000 0.0000
0.0000 2.9575 0.0000
-1.7468 0.0000 8.7239
Li Hg Pd
2 2 4
Direct
0.0000 0.0000 0.0000
0.5000 0.5000 0.0000
0.1661 0.0000 0.5001
0.6661 0.5000 0.5001
0.0898 0.5000 0.7687
0.4107 0.0000 0.2313
0.5898 0.0000 0.7687
0.9107 0.5000 0.2313
```

Summary:
Fermi-level density of states ... 1.8 states/eV per cell
ΔE_f ... -172 meV per atom

---

No. 9
VASP calculation (PBE-GGA) on a geometry-optimized Ba2MgRhBr structure.

Geometry as POSCAR:
```
Ba2MgRhBr
1.0
6.0874 0.0000 0.0000
0.0000 6.0874 0.0000
0.0000 0.0000 4.9868
Ba Mg Rh Br
2 1 1 1
Direct
0.0000 0.5000 0.0000
0.5000 0.0000 0.0000
0.0000 0.0000 0.5000
0.0000 0.0000 0.0000
0.5000 0.5000 0.5000
```

Summary:
Fermi-level density of states ... 1.7 states/eV per cell
Formation energy without anion corrections ... -0.68 eV/atom

---

No. 10
VASP calculation (PBE-GGA) on a geometry-optimized CePuTlZn structure.

Geometry as POSCAR:
```
CePuTlZn
1.0
7.5059 0.0000 0.0000
0.0000 7.5059 0.0000
0.0000 0.0000 7.5059
Ce Pu Tl Zn
4 4 4 4
Direct
0.0000 0.0000 0.0000
0.0000 0.5000 0.5000
0.5000 0.0000 0.5000
0.5000 0.5000 0.0000
0.0000 0.0000 0.5000
0.0000 0.5000 0.0000
0.5000 0.0000 0.0000
0.5000 0.5000 0.5000
0.2500 0.2500 0.2500
0.2500 0.7500 0.7500
0.7500 0.2500 0.7500
0.7500 0.7500 0.2500
0.2500 0.2500 0.7500
0.2500 0.7500 0.2500
0.7500 0.2500 0.2500
0.7500 0.7500 0.7500
```

Summary:
Fermi-level density of states ... 51.1 states/eV per cell
ΔE_f ... -74 meV per atom

---

No. 11
VASP calculation (PBE-GGA) on a geometry-optimized BaNb3B structure.

Geometry as POSCAR:
```
BaNb3B
1.0
4.6351 0.0000 0.0000
0.0000 4.6351 0.0000
0.0000 0.0000 4.6351
Ba Nb B
1 3 1
Direct
0.0000 0.0000 0.0000
0.0000 0.5000 0.5000
0.5000 0.0000 0.5000
0.5000 0.5000 0.0000
0.5000 0.5000 0.5000
```

Summary:
Relative energy among the computed polymorphs ... 0 meV/atom
Fermi-level density of states ... 9.1 states/eV per cell
ΔE_f ... 742 meV per atom

---

No. 12
VASP calculation (PBE-GGA) on a geometry-optimized SbAs2CBr structure.

Geometry as POSCAR:
```
SbAs2CBr
1.0
4.5481 0.0000 0.0000
0.0000 4.5481 0.0000
0.0000 0.0000 4.6271
Sb As C Br
1 2 1 1
Direct
0.0000 0.0000 0.0000
0.0000 0.5000 0.5000
0.5000 0.0000 0.5000
0.5000 0.5000 0.5000
0.5000 0.5000 0.0000
```

Summary:
Relative energy among the computed polymorphs ... 0 meV/atom
Fermi-level density of states ... 3.9 states/eV per cell
Formation energy without anion corrections ... 1.09 eV/atom